*i*
Ge2SbAu2: optimized geometry, PBE.

* space group: I4/mmm
* M_tot: 0.000 μB per cell

a b c (Å): 4.1683 4.1683 6.8337
angles (deg): 72.24 72.24 90.00
Positions (direct):
Ge1 0.2500 0.7500 0.5000
Au1 0.6103 0.6103 0.7793
Sb1 0.0000 0.0000 0.0000
Au2 0.3896 0.3896 0.2207
Ge2 0.7500 0.2500 0.5000



*ii*
Ge2SbAu2: optimized geometry, PBE.

* space group: I4/mmm
* M_tot: 0.000 μB per cell

a b c (Å): 4.4893 4.4893 6.2279
angles (deg): 68.87 68.87 90.00
Positions (direct):
Ge1 0.3833 0.3833 0.2335
Ge2 0.6167 0.6167 0.7665
Sb1 0.0000 0.0000 0.0000
Au1 0.2500 0.7500 0.5000
Au2 0.7500 0.2500 0.5000



*iii*
Ge2SbAu2: optimized geometry, PBE.

* space group: P4/mbm
* M_tot: 0.000 μB per cell

a b c (Å): 8.1604 8.1604 3.1551
angles (deg): 90.00 90.00 90.00
Positions (direct):
Ge1 0.1821 0.3179 0.0000
Au1 0.1215 0.6215 0.5000
Au2 0.8785 0.3785 0.5000
Ge2 0.3179 0.8179 0.0000
Au3 0.6215 0.8785 0.5000
Ge3 0.6821 0.1821 0.0000
Sb1 0.5000 0.5000 0.0000
Sb2 0.0000 0.0000 0.0000
Au4 0.3785 0.1215 0.5000
Ge4 0.8179 0.6821 0.0000



Most favorable first, least favorable last: *i*, *iii*, *ii*



*i*
GeSb2TeAu: optimized geometry, PBE.

* space group: P4/mmm
* M_tot: 0.000 μB per cell

a b c (Å): 5.3421 5.3421 5.5303
angles (deg): 90.00 90.00 90.00
Positions (direct):
Ge1 0.5000 0.5000 0.5000
Au1 0.0000 0.0000 0.0000
Sb1 0.5000 0.0000 0.0000
Sb2 0.0000 0.5000 0.0000
Te1 0.0000 0.0000 0.5000



*ii*
GeSb2TeAu: optimized geometry, PBE.

* space group: P4/mmm
* M_tot: 0.000 μB per cell

a b c (Å): 5.3468 5.3468 5.2904
angles (deg): 90.00 90.00 90.00
Positions (direct):
Au1 0.5000 0.5000 0.5000
Sb1 0.0000 0.5000 0.0000
Ge1 0.0000 0.0000 0.0000
Sb2 0.5000 0.0000 0.0000
Te1 0.0000 0.0000 0.5000



Most favorable first, least favorable last: *i*, *ii*



*i*
Sc2Ge2Au: optimized geometry, PBE.

* space group: P4/mbm
* M_tot: 0.000 μB per cell

a b c (Å): 6.8311 6.8311 4.0328
angles (deg): 90.00 90.00 90.00
Positions (direct):
Ge1 0.3696 0.8696 0.0000
Ge2 0.1304 0.3696 0.0000
Sc1 0.3276 0.1724 0.5000
Sc2 0.8276 0.3276 0.5000
Au1 0.5000 0.5000 0.0000
Ge3 0.6304 0.1304 0.0000
Sc3 0.1724 0.6724 0.5000
Au2 0.0000 0.0000 0.0000
Sc4 0.6724 0.8276 0.5000
Ge4 0.8696 0.6304 0.0000



*ii*
Sc2Ge2Au: optimized geometry, PBE.

* space group: P4/mbm
* M_tot: 0.000 μB per cell

a b c (Å): 7.9368 7.9368 3.1921
angles (deg): 90.00 90.00 90.00
Positions (direct):
Sc1 0.6368 0.1368 0.0000
Sc2 0.8632 0.6368 0.0000
Ge1 0.8300 0.3300 0.5000
Sc3 0.1368 0.3632 0.0000
Ge2 0.3300 0.1700 0.5000
Au1 0.5000 0.5000 0.0000
Au2 0.0000 0.0000 0.0000
Sc4 0.3632 0.8632 0.0000
Ge3 0.6700 0.8300 0.5000
Ge4 0.1700 0.6700 0.5000



Most favorable first, least favorable last: *i*, *ii*



*i*
ScGe2Au: optimized geometry, PBE.

* space group: I-42d
* M_tot: 0.000 μB per cell

a b c (Å): 7.4440 7.4440 5.9952
angles (deg): 51.62 51.62 90.00
Positions (direct):
Ge1 0.8750 0.9023 0.7500
Au1 0.7500 0.2500 0.5000
Ge2 0.0977 0.6250 0.2500
Ge3 0.3750 0.3477 0.7500
Sc1 0.5000 0.5000 0.0000
Au2 0.0000 0.0000 0.0000
Sc2 0.2500 0.7500 0.5000
Ge4 0.6523 0.1250 0.2500



*ii*
ScGe2Au: optimized geometry, PBE.

* space group: P4/mmm
* M_tot: 0.000 μB per cell

a b c (Å): 3.9390 4.3009 4.3009
angles (deg): 90.00 90.00 90.00
Positions (direct):
Au1 0.5000 0.0000 0.0000
Ge1 0.0000 0.0000 0.5000
Sc1 0.5000 0.5000 0.5000
Ge2 0.0000 0.5000 0.0000



*iii*
ScGe2Au: optimized geometry, PBE.

* space group: Fm-3m
* M_tot: 0.000 μB per cell

a b c (Å): 4.7424 4.7424 4.7424
angles (deg): 60.00 60.00 60.00
Positions (direct):
Ge1 0.7500 0.7500 0.7500
Sc1 0.0000 0.0000 0.0000
Au1 0.5000 0.5000 0.5000
Ge2 0.2500 0.2500 0.2500



Most favorable first, least favorable last: *ii*, *i*, *iii*



*i*
ScGeAu3: optimized geometry, PBE.

* space group: Pm-3m
* M_tot: 0.000 μB per cell

a b c (Å): 4.8486 4.8486 4.8486
angles (deg): 90.00 90.00 90.00
Positions (direct):
Ge1 0.0000 0.0000 0.0000
Au1 0.0000 0.5000 0.0000
Au2 0.0000 0.0000 0.5000
Sc1 0.5000 0.5000 0.5000
Au3 0.5000 0.0000 0.0000



*ii*
ScGeAu3: optimized geometry, PBE.

* space group: Pm-3m
* M_tot: 0.000 μB per cell

a b c (Å): 5.0978 5.0978 5.0978
angles (deg): 90.00 90.00 90.00
Positions (direct):
Ge1 0.5000 0.5000 0.5000
Au1 0.0000 0.5000 0.0000
Au2 0.0000 0.0000 0.5000
Sc1 0.0000 0.0000 0.0000
Au3 0.5000 0.0000 0.0000



Most favorable first, least favorable last: *i*, *ii*



*i*
Ge3AuSe: optimized geometry, PBE.

* space group: Pm-3m
* M_tot: 0.000 μB per cell

a b c (Å): 5.0461 5.0461 5.0461
angles (deg): 90.00 90.00 90.00
Positions (direct):
Au1 0.0000 0.0000 0.0000
Ge1 0.0000 0.5000 0.0000
Ge2 0.0000 0.0000 0.5000
Se1 0.5000 0.5000 0.5000
Ge3 0.5000 0.0000 0.0000



*ii*
Ge3AuSe: optimized geometry, PBE.

* space group: Pm-3m
* M_tot: 0.000 μB per cell

a b c (Å): 5.1265 5.1265 5.1265
angles (deg): 90.00 90.00 90.00
Positions (direct):
Ge1 0.5000 0.0000 0.0000
Se1 0.0000 0.0000 0.0000
Ge2 0.0000 0.5000 0.0000
Au1 0.5000 0.5000 0.5000
Ge3 0.0000 0.0000 0.5000



Most favorable first, least favorable last: *i*, *ii*